1.
# PBE-GGA NaPuGa2Pt2, optimized geometry
data_NaPuGa2Pt2
_symmetry_space_group_name_H-M 'P 1'
_symmetry_Int_Tables_number 1
_cell_length_a 4.3843
_cell_length_b 4.3843
_cell_length_c 7.4891
_cell_angle_alpha 90.00
_cell_angle_beta 90.00
_cell_angle_gamma 120.00
loop_
_symmetry_equiv_pos_as_xyz
'x,y,z'
loop_
_atom_site_label
_atom_site_fract_x
_atom_site_fract_y
_atom_site_fract_z
Na1 0.0000 0.0000 0.0000
Pu1 0.0000 0.0000 0.5000
Ga1 0.3333 0.6667 0.7570
Ga2 0.6667 0.3333 0.2430
Pt1 0.3333 0.6667 0.2815
Pt2 0.6667 0.3333 0.7185
# D(E_F), states/eV/atom: 2.278
# Total energy, eV per atom: -6.206
# Space-group type: P-3m1, No. 164



2.
# PBE-GGA NaPu2Ga3Pt4, optimized geometry
data_NaPu2Ga3Pt4
_symmetry_space_group_name_H-M 'P 1'
_symmetry_Int_Tables_number 1
_cell_length_a 4.0844
_cell_length_b 4.0844
_cell_length_c 11.7201
_cell_angle_alpha 90.00
_cell_angle_beta 90.00
_cell_angle_gamma 90.00
loop_
_symmetry_equiv_pos_as_xyz
'x,y,z'
loop_
_atom_site_label
_atom_site_fract_x
_atom_site_fract_y
_atom_site_fract_z
Na1 0.0000 0.0000 0.0000
Pu1 0.0000 0.5000 0.7459
Pu2 0.5000 0.0000 0.2541
Ga1 0.0000 0.5000 0.3723
Ga2 0.5000 0.0000 0.6277
Ga3 0.5000 0.5000 0.0000
Pt1 0.0000 0.0000 0.5000
Pt2 0.0000 0.5000 0.1598
Pt3 0.5000 0.0000 0.8402
Pt4 0.5000 0.5000 0.5000
# D(E_F), states/eV/atom: 2.532
# Total energy, eV per atom: -6.956
# Space-group type: P-4m2, No. 115



Q: The lowest D(E_F) belongs to which entry?
A: NaPuGa2Pt2